VASP calculation (PBE) on a relaxed KPPb2 crystal.

a = 6.125 Å, b = 6.125 Å, c = 3.354 Å
α = 90.00°, β = 90.00°, γ = 115.19°
Element x y z (fractional)
K: 0.500 0.000 0.500
P: 0.000 0.500 0.500
Pb: 0.000 0.000 0.000
Pb: 0.500 0.500 0.000

Output
The calculation puts the raw total energy at -12.94 eV for the cell shown. Its space-group type is Cmmm, No. 65.